1.
Er2Ta: relaxed, PBE-GGA. Values from VASP.

Cell and atoms, written as Quantum ESPRESSO input:
```
&SYSTEM
  ibrav = 0, nat = 6, ntyp = 2
/
ATOMIC_SPECIES
Er 167.26 Er.upf
Ta 180.95 Ta.upf
CELL_PARAMETERS angstrom
0.000 4.198 4.198
4.198 0.000 4.198
4.198 4.198 0.000
ATOMIC_POSITIONS angstrom
Er 0.000 0.000 0.000
Er 2.099 2.099 0.000
Er 2.099 0.000 2.099
Er 0.000 2.099 2.099
Ta 3.149 3.149 3.149
Ta 5.248 5.248 5.248
```

Properties
M_tot ... 0.0 μB per cell
Crystal system ... cubic

***

2.
Dy2O: relaxed, PBE-GGA. Values from VASP.

Cell and atoms, written as Quantum ESPRESSO input:
```
&SYSTEM
  ibrav = 0, nat = 6, ntyp = 2
/
ATOMIC_SPECIES
Dy 162.50 Dy.upf
O 16.00 O.upf
CELL_PARAMETERS angstrom
5.768 0.000 0.000
0.000 5.768 0.000
0.000 0.000 3.529
ATOMIC_POSITIONS angstrom
Dy 1.208 1.208 0.000
Dy 1.676 4.093 1.764
Dy 4.093 1.676 1.764
Dy 4.560 4.560 0.000
O 0.000 0.000 1.764
O 2.884 2.884 0.000
```

Properties
Energy above the lowest structure with this stoichiometry ... 0.000 eV/atom
M_tot ... 0.3 μB per cell
Crystal system ... tetragonal

***

3.
LaTbRe: relaxed, PBE-GGA. Values from VASP.

Cell and atoms, written as Quantum ESPRESSO input:
```
&SYSTEM
  ibrav = 0, nat = 12, ntyp = 3
/
ATOMIC_SPECIES
La 138.91 La.upf
Tb 158.93 Tb.upf
Re 186.21 Re.upf
CELL_PARAMETERS angstrom
6.776 0.000 0.000
0.000 6.776 0.000
0.000 0.000 6.776
ATOMIC_POSITIONS angstrom
La 0.000 0.000 0.000
La 0.000 3.388 3.388
La 3.388 0.000 3.388
La 3.388 3.388 0.000
Tb 1.694 1.694 1.694
Tb 1.694 5.082 5.082
Tb 5.082 1.694 5.082
Tb 5.082 5.082 1.694
Re 1.694 1.694 5.082
Re 1.694 5.082 1.694
Re 5.082 1.694 1.694
Re 5.082 5.082 5.082
```

Properties
M_tot ... 2.3 μB per cell
Crystal system ... cubic

***

4.
Dy5Sn4: relaxed, PBE-GGA. Values from VASP.

Cell and atoms, written as Quantum ESPRESSO input:
```
&SYSTEM
  ibrav = 0, nat = 36, ntyp = 2
/
ATOMIC_SPECIES
Dy 162.50 Dy.upf
Sn 118.71 Sn.upf
CELL_PARAMETERS angstrom
8.034 0.000 0.000
0.000 15.446 0.000
0.000 0.000 8.150
ATOMIC_POSITIONS angstrom
Dy 0.175 1.507 1.455
Dy 0.175 6.216 1.455
Dy 1.063 9.611 2.753
Dy 1.063 13.558 2.753
Dy 1.601 3.861 4.100
Dy 2.416 11.584 0.025
Dy 2.955 1.888 6.828
Dy 2.955 5.835 6.828
Dy 3.842 9.230 5.530
Dy 3.842 13.939 5.530
Dy 4.192 1.507 2.620
Dy 4.192 6.216 2.620
Dy 5.080 9.611 1.322
Dy 5.080 13.558 1.322
Dy 5.618 3.861 8.124
Dy 6.433 11.584 4.049
Dy 6.972 1.888 5.397
Dy 6.972 5.835 5.397
Dy 7.859 9.230 6.695
Dy 7.859 13.939 6.695
Sn 0.523 3.861 7.194
Sn 1.359 11.584 5.277
Sn 1.668 0.642 4.373
Sn 1.668 7.081 4.373
Sn 2.349 8.365 0.298
Sn 2.349 14.804 0.298
Sn 2.658 3.861 1.202
Sn 3.495 11.584 3.119
Sn 4.540 3.861 5.031
Sn 5.376 11.584 6.947
Sn 5.685 0.642 7.852
Sn 5.685 7.081 7.852
Sn 6.366 8.365 3.777
Sn 6.366 14.804 3.777
Sn 6.675 3.861 2.873
Sn 7.512 11.584 0.956
```

Properties
Energy above the lowest structure with this stoichiometry ... 0.000 eV/atom
M_tot ... 0.0 μB per cell
Crystal system ... orthorhombic

***

5.
ErUNi: relaxed, PBE-GGA. Values from VASP.

Cell and atoms, written as Quantum ESPRESSO input:
```
&SYSTEM
  ibrav = 0, nat = 12, ntyp = 3
/
ATOMIC_SPECIES
Er 167.26 Er.upf
U 238.03 U.upf
Ni 58.69 Ni.upf
CELL_PARAMETERS angstrom
6.543 0.000 0.000
0.000 6.543 0.000
0.000 0.000 6.543
ATOMIC_POSITIONS angstrom
Er 0.000 0.000 0.000
Er 0.000 3.272 3.272
Er 3.272 0.000 3.272
Er 3.272 3.272 0.000
U 0.000 0.000 3.272
U 0.000 3.272 0.000
U 3.272 0.000 0.000
U 3.272 3.272 3.272
Ni 1.636 1.636 4.907
Ni 1.636 4.907 1.636
Ni 4.907 1.636 1.636
Ni 4.907 4.907 4.907
```

Properties
Energy above the lowest structure with this stoichiometry ... 0.000 eV/atom
M_tot ... 12.2 μB per cell
Crystal system ... cubic

***

6.
Sc2BeNb: relaxed, PBE-GGA. Values from VASP.

Cell and atoms, written as Quantum ESPRESSO input:
```
&SYSTEM
  ibrav = 0, nat = 16, ntyp = 3
/
ATOMIC_SPECIES
Sc 44.96 Sc.upf
Be 9.01 Be.upf
Nb 92.91 Nb.upf
CELL_PARAMETERS angstrom
6.580 0.000 0.000
0.000 6.580 0.000
0.000 0.000 6.580
ATOMIC_POSITIONS angstrom
Sc 0.000 0.000 0.000
Sc 0.000 3.290 3.290
Sc 1.645 1.645 1.645
Sc 1.645 4.935 4.935
Sc 3.290 0.000 3.290
Sc 3.290 3.290 0.000
Sc 4.935 1.645 4.935
Sc 4.935 4.935 1.645
Be 0.000 0.000 3.290
Be 0.000 3.290 0.000
Be 3.290 0.000 0.000
Be 3.290 3.290 3.290
Nb 1.645 1.645 4.935
Nb 1.645 4.935 1.645
Nb 4.935 1.645 1.645
Nb 4.935 4.935 4.935
```

Properties
M_tot ... 0.0 μB per cell
Crystal system ... cubic

***

7.
SrLiHg: relaxed, PBE-GGA. Values from VASP.

Cell and atoms, written as Quantum ESPRESSO input:
```
&SYSTEM
  ibrav = 0, nat = 6, ntyp = 3
/
ATOMIC_SPECIES
Sr 87.62 Sr.upf
Li 6.94 Li.upf
Hg 200.59 Hg.upf
CELL_PARAMETERS angstrom
3.823 0.000 0.000
0.000 3.823 0.000
0.000 0.000 11.643
ATOMIC_POSITIONS angstrom
Sr 0.956 0.956 1.694
Sr 2.867 2.867 9.949
Li 0.956 0.956 5.054
Li 2.867 2.867 6.589
Hg 0.956 0.956 7.914
Hg 2.867 2.867 3.729
```

Properties
Energy above the lowest structure with this stoichiometry ... 0.079 eV/atom
Crystal system ... tetragonal

***

8.
AcThGa: relaxed, PBE-GGA. Values from VASP.

Cell and atoms, written as Quantum ESPRESSO input:
```
&SYSTEM
  ibrav = 0, nat = 12, ntyp = 3
/
ATOMIC_SPECIES
Ac 227.00 Ac.upf
Th 232.04 Th.upf
Ga 69.72 Ga.upf
CELL_PARAMETERS angstrom
7.364 0.000 0.000
0.000 7.364 0.000
0.000 0.000 7.364
ATOMIC_POSITIONS angstrom
Ac 0.000 0.000 0.000
Ac 0.000 3.682 3.682
Ac 3.682 0.000 3.682
Ac 3.682 3.682 0.000
Th 0.000 0.000 3.682
Th 0.000 3.682 0.000
Th 3.682 0.000 0.000
Th 3.682 3.682 3.682
Ga 1.841 1.841 1.841
Ga 1.841 5.523 5.523
Ga 5.523 1.841 5.523
Ga 5.523 5.523 1.841
```

Properties
M_tot ... 0.0 μB per cell
Crystal system ... cubic

***

9.
Ba2AlIr: relaxed, PBE-GGA. Values from VASP.

Cell and atoms, written as Quantum ESPRESSO input:
```
&SYSTEM
  ibrav = 0, nat = 16, ntyp = 3
/
ATOMIC_SPECIES
Ba 137.33 Ba.upf
Al 26.98 Al.upf
Ir 192.22 Ir.upf
CELL_PARAMETERS angstrom
7.555 0.000 0.000
0.000 7.555 0.000
0.000 0.000 7.555
ATOMIC_POSITIONS angstrom
Ba 0.000 0.000 0.000
Ba 0.000 3.777 3.777
Ba 1.889 1.889 1.889
Ba 1.889 5.666 5.666
Ba 3.777 0.000 3.777
Ba 3.777 3.777 0.000
Ba 5.666 1.889 5.666
Ba 5.666 5.666 1.889
Al 0.000 0.000 3.777
Al 0.000 3.777 0.000
Al 3.777 0.000 0.000
Al 3.777 3.777 3.777
Ir 1.889 1.889 5.666
Ir 1.889 5.666 1.889
Ir 5.666 1.889 1.889
Ir 5.666 5.666 5.666
```

Properties
M_tot ... 0.0 μB per cell
Crystal system ... cubic

***

10.
Re2Tc2O5: relaxed, PBE-GGA. Values from VASP.

Cell and atoms, written as Quantum ESPRESSO input:
```
&SYSTEM
  ibrav = 0, nat = 9, ntyp = 3
/
ATOMIC_SPECIES
Re 186.21 Re.upf
Tc 98.00 Tc.upf
O 16.00 O.upf
CELL_PARAMETERS angstrom
3.241 0.000 0.000
0.000 3.241 0.000
0.000 0.000 8.622
ATOMIC_POSITIONS angstrom
Re 0.000 0.000 0.000
Re 0.000 0.000 4.311
Tc 1.621 1.621 1.470
Tc 1.621 1.621 7.152
O 0.000 1.621 2.737
O 0.000 1.621 5.885
O 1.621 0.000 2.737
O 1.621 0.000 5.885
O 1.621 1.621 4.311
```

Properties
Energy above the lowest structure with this stoichiometry ... 0.059 eV/atom
M_tot ... 0.0 μB per cell
Crystal system ... tetragonal

***

11.
HfMgNiSb: relaxed, PBE-GGA. Values from VASP.

Cell and atoms, written as Quantum ESPRESSO input:
```
&SYSTEM
  ibrav = 0, nat = 16, ntyp = 4
/
ATOMIC_SPECIES
Hf 178.49 Hf.upf
Mg 24.30 Mg.upf
Ni 58.69 Ni.upf
Sb 121.76 Sb.upf
CELL_PARAMETERS angstrom
6.690 0.000 0.000
0.000 6.690 0.000
0.000 0.000 6.690
ATOMIC_POSITIONS angstrom
Hf 0.000 0.000 0.000
Hf 0.000 3.345 3.345
Hf 3.345 0.000 3.345
Hf 3.345 3.345 0.000
Mg 1.672 1.672 1.672
Mg 1.672 5.017 5.017
Mg 5.017 1.672 5.017
Mg 5.017 5.017 1.672
Ni 1.672 1.672 5.017
Ni 1.672 5.017 1.672
Ni 5.017 1.672 1.672
Ni 5.017 5.017 5.017
Sb 0.000 0.000 3.345
Sb 0.000 3.345 0.000
Sb 3.345 0.000 0.000
Sb 3.345 3.345 3.345
```

Properties
Energy above the lowest structure with this stoichiometry ... 0.017 eV/atom
M_tot ... 0.0 μB per cell
Crystal system ... cubic

***

12.
SrFeAgS3: relaxed, PBE-GGA. Values from VASP.

Cell and atoms, written as Quantum ESPRESSO input:
```
&SYSTEM
  ibrav = 0, nat = 24, ntyp = 4
/
ATOMIC_SPECIES
Sr 87.62 Sr.upf
Fe 55.84 Fe.upf
Ag 107.87 Ag.upf
S 32.06 S.upf
CELL_PARAMETERS angstrom
12.956 0.000 0.000
0.000 3.945 0.000
0.000 0.000 9.526
ATOMIC_POSITIONS angstrom
Sr 3.128 0.986 0.578
Sr 3.350 2.959 5.341
Sr 9.606 0.986 4.185
Sr 9.828 2.959 8.948
Fe 0.176 0.986 3.182
Fe 6.302 2.959 7.944
Fe 6.654 0.986 1.581
Fe 12.780 2.959 6.344
Ag 0.017 2.959 1.005
Ag 6.461 0.986 5.768
Ag 6.495 2.959 3.758
Ag 12.940 0.986 8.521
S 1.109 0.986 5.339
S 1.508 2.959 8.106
S 1.890 2.959 2.586
S 4.588 0.986 7.348
S 4.971 0.986 3.343
S 5.370 2.959 0.576
S 7.587 0.986 8.950
S 7.986 2.959 6.183
S 8.369 2.959 2.177
S 11.066 0.986 6.940
S 11.449 0.986 1.420
S 11.848 2.959 4.187
```

Properties
Energy above the lowest structure with this stoichiometry ... 0.019 eV/atom
M_tot ... 16.2 μB per cell
Crystal system ... orthorhombic

***

no.,E (eV/atom)
1,-6.040
2,-6.539
3,-6.151
4,-5.080
5,-6.790
6,-6.306
7,-1.598
8,-4.905
9,-3.861
10,-7.950
11,-5.172
12,-4.876